ZnNi5: single point on PBEsol structure, SCAN.

Computed properties:
Formation energy from the elements in eV/atom: -0.0453
Size of the total moment in Bohr magnetons per cell: 3.10
Volume in Å³ per cell: 64.3
SG: P4/mmm (123)
Density of states at the Fermi level in states/eV/cell: 5.66

Unit cell a=2.4953 b=2.4953 c=10.3192 alpha=90.00 beta=90.00 gamma=90.00
Atoms (fractional coordinates):
Zn 0.0000 0.0000 0.0000
Ni 0.0000 0.0000 0.3369
Ni 0.0000 0.0000 0.6631
Ni 0.5000 0.5000 0.1736
Ni 0.5000 0.5000 0.5000
Ni 0.5000 0.5000 0.8264

***

KTaHg2: single point on PBEsol structure, SCAN.

Computed properties:
Formation energy from the elements in eV/atom: 0.2797
Size of the total moment in Bohr magnetons per cell: 0.00
Volume in Å³ per cell: 94.7
SG: Pmmm (47)
Density of states at the Fermi level in states/eV/cell: 2.10

Unit cell a=2.8890 b=4.1704 c=7.8642 alpha=90.00 beta=90.00 gamma=90.00
Atoms (fractional coordinates):
K 0.0000 0.0000 0.0000
Ta 0.0000 0.0000 0.5000
Hg 0.5000 0.5000 0.3084
Hg 0.5000 0.5000 0.6916

***

InReHg: single point on PBEsol structure, SCAN.

Computed properties:
Formation energy from the elements in eV/atom: 1.3513
Size of the total moment in Bohr magnetons per cell: 2.77
Volume in Å³ per cell: 64.5
SG: F-43m (216)
Density of states at the Fermi level in states/eV/cell: 2.31

Unit cell a=4.5004 b=4.5004 c=4.5004 alpha=60.00 beta=60.00 gamma=60.00
Atoms (fractional coordinates):
In 0.0000 0.0000 0.0000
Re 0.5000 0.5000 0.5000
Hg 0.7500 0.7500 0.7500

***

Dy3Al: single point on PBEsol structure, SCAN.

Computed properties:
Formation energy from the elements in eV/atom: -0.2218
Size of the total moment in Bohr magnetons per cell: 0.65
Volume in Å³ per cell: 102.1
SG: Pm-3m (221)
Density of states at the Fermi level in states/eV/cell: 3.89

Unit cell a=4.6739 b=4.6739 c=4.6739 alpha=90.00 beta=90.00 gamma=90.00
Atoms (fractional coordinates):
Dy 0.0000 0.0000 0.5000
Dy 0.0000 0.5000 0.0000
Dy 0.5000 0.0000 0.0000
Al 0.5000 0.5000 0.5000

***

Mn3PbF: single point on PBEsol structure, SCAN.

Computed properties:
Size of the total moment in Bohr magnetons per cell: 14.00
Energy relative to the elements, uncorrected in eV/atom: 0.36
Volume in Å³ per cell: 139.9
SG: Pm-3m (221)
Density of states at the Fermi level in states/eV/cell: 3.76

Unit cell a=5.1913 b=5.1913 c=5.1913 alpha=90.00 beta=90.00 gamma=90.00
Atoms (fractional coordinates):
Mn 0.0000 0.0000 0.5000
Mn 0.0000 0.5000 0.0000
Mn 0.5000 0.0000 0.0000
Pb 0.0000 0.0000 0.0000
F 0.5000 0.5000 0.5000

***

U2PS: single point on PBEsol structure, SCAN.

Computed properties:
Size of the total moment in Bohr magnetons per cell: 8.27
Energy relative to the elements, uncorrected in eV/atom: -1.06
Volume in Å³ per cell: 158.6
SG: I4_1/amd (141)
Density of states at the Fermi level in states/eV/cell: 17.03

Unit cell a=6.6308 b=6.6308 c=6.6308 alpha=131.83 beta=131.83 gamma=70.50
Atoms (fractional coordinates):
U 0.1242 0.3742 0.7500
U 0.3742 0.1242 0.2500
U 0.6258 0.8758 0.7500
U 0.8758 0.6258 0.2500
P 0.3750 0.6250 0.7500
P 0.6250 0.3750 0.2500
S 0.1250 0.8750 0.2500
S 0.8750 0.1250 0.7500

***

BaP2Rh: single point on PBEsol structure, SCAN.

Computed properties:
Formation energy from the elements in eV/atom: 0.3266
Size of the total moment in Bohr magnetons per cell: 0.00
Volume in Å³ per cell: 80.9
SG: Cmmm (65)
Density of states at the Fermi level in states/eV/cell: 2.62

Unit cell a=4.5196 b=4.5196 c=4.0751 alpha=90.00 beta=90.00 gamma=103.57
Atoms (fractional coordinates):
Ba 0.0000 0.0000 0.0000
P 0.0000 0.5000 0.5000
P 0.5000 0.0000 0.5000
Rh 0.5000 0.5000 0.0000

***

SrSc2TaOs: single point on PBEsol structure, SCAN.

Computed properties:
Formation energy from the elements in eV/atom: 1.7388
Size of the total moment in Bohr magnetons per cell: 1.97
Volume in Å³ per cell: 128.6
SG: P4/mmm (123)
Density of states at the Fermi level in states/eV/cell: 4.26

Unit cell a=4.8876 b=4.8876 c=5.3843 alpha=90.00 beta=90.00 gamma=90.00
Atoms (fractional coordinates):
Sr 0.0000 0.0000 0.0000
Sc 0.0000 0.5000 0.5000
Sc 0.5000 0.0000 0.5000
Ta 0.0000 0.0000 0.5000
Os 0.5000 0.5000 0.0000